TbEr2Ni9 (GGA-PBE, optimized geometry); energy = -5.912 eV per atom
1.0
2.478 1.430 8.074
-2.478 1.430 8.074
0.000 -2.861 8.074
Tb Er Ni
1 2 9
Direct
0.000 0.000 0.000
0.139 0.139 0.139
0.861 0.861 0.861
0.081 0.583 0.583
0.333 0.333 0.333
0.417 0.417 0.919
0.417 0.919 0.417
0.500 0.500 0.500
0.583 0.081 0.583
0.583 0.583 0.081
0.667 0.667 0.667
0.919 0.417 0.417

Tb4Er3Ni2 (GGA-PBE, optimized geometry); energy = -5.038 eV per atom
1.0
8.224 -1.791 0.000
8.224 1.791 0.000
-3.513 0.000 8.246
Tb Er Ni
4 3 2
Direct
0.133 0.133 0.392
0.270 0.270 0.846
0.730 0.730 0.154
0.867 0.867 0.608
0.430 0.430 0.311
0.500 0.500 0.000
0.570 0.570 0.689
0.118 0.118 0.938
0.882 0.882 0.062

TbEr2Ni (GGA-PBE, optimized geometry); energy = -4.999 eV per atom
1.0
3.777 0.000 0.000
-1.888 3.271 0.000
0.000 0.000 26.400
Tb Er Ni
3 6 3
Direct
0.000 0.000 0.000
0.333 0.667 0.667
0.667 0.333 0.333
0.000 0.000 0.557
0.000 0.000 0.772
0.333 0.667 0.223
0.333 0.667 0.439
0.667 0.333 0.106
0.667 0.333 0.890
0.000 0.000 0.164
0.333 0.667 0.830
0.667 0.333 0.497

Tb2ErNi (GGA-PBE, optimized geometry); energy = -5.148 eV per atom
1.0
6.837 0.000 0.000
0.000 9.605 0.000
0.000 0.000 6.297
Tb Er Ni
8 4 4
Direct
0.180 0.066 0.178
0.180 0.434 0.178
0.320 0.566 0.678
0.320 0.934 0.678
0.680 0.066 0.322
0.680 0.434 0.322
0.820 0.566 0.822
0.820 0.934 0.822
0.035 0.250 0.642
0.465 0.750 0.142
0.535 0.250 0.858
0.965 0.750 0.358
0.109 0.750 0.948
0.391 0.250 0.448
0.609 0.750 0.552
0.891 0.250 0.052

TbEr2Ni (GGA-PBE, optimized geometry); energy = -5.109 eV per atom
1.0
3.613 0.000 0.000
0.000 11.945 0.000
0.000 0.000 9.459
Tb Er Ni
4 8 4
Direct
0.000 0.081 0.250
0.000 0.919 0.750
0.500 0.419 0.750
0.500 0.581 0.250
0.000 0.363 0.070
0.000 0.363 0.430
0.000 0.637 0.570
0.000 0.637 0.930
0.500 0.137 0.570
0.500 0.137 0.930
0.500 0.863 0.070
0.500 0.863 0.430
0.000 0.237 0.750
0.000 0.763 0.250
0.500 0.263 0.250
0.500 0.737 0.750

TbEr6Ni3 (GGA-PBE, optimized geometry); energy = -5.187 eV per atom
1.0
5.428 -6.436 0.000
5.428 6.436 0.000
0.000 0.000 7.007
Tb Er Ni
2 12 6
Direct
0.181 0.819 0.500
0.819 0.181 0.000
0.082 0.464 0.269
0.130 0.205 0.622
0.205 0.130 0.122
0.273 0.727 0.961
0.464 0.082 0.769
0.469 0.531 0.616
0.531 0.469 0.116
0.536 0.918 0.269
0.727 0.273 0.461
0.795 0.870 0.622
0.870 0.795 0.122
0.918 0.536 0.769
0.082 0.918 0.831
0.198 0.412 0.906
0.412 0.198 0.406
0.588 0.802 0.906
0.802 0.588 0.406
0.918 0.082 0.331

Tb3Er3Ni2 (GGA-PBE, optimized geometry); energy = -5.054 eV per atom
1.0
1.812 -6.520 0.000
1.812 6.520 0.000
0.000 0.000 18.284
Tb Er Ni
6 6 4
Direct
0.044 0.956 0.750
0.177 0.823 0.063
0.177 0.823 0.437
0.823 0.177 0.563
0.823 0.177 0.937
0.956 0.044 0.250
0.235 0.765 0.250
0.438 0.562 0.085
0.438 0.562 0.415
0.562 0.438 0.585
0.562 0.438 0.915
0.765 0.235 0.750
0.197 0.803 0.640
0.197 0.803 0.860
0.803 0.197 0.140
0.803 0.197 0.360

TbEr4Ni2 (GGA-PBE, optimized geometry); energy = -5.071 eV per atom
1.0
1.940 1.120 14.344
-1.940 1.120 14.344
0.000 -2.240 14.344
Tb Er Ni
1 4 2
Direct
0.000 0.000 0.000
0.200 0.200 0.200
0.399 0.399 0.399
0.601 0.601 0.601
0.800 0.800 0.800
0.100 0.100 0.100
0.900 0.900 0.900

TbEr4Ni4 (GGA-PBE, optimized geometry); energy = -5.395 eV per atom
1.0
8.502 0.000 0.000
0.000 8.502 0.000
0.000 0.000 5.542
Tb Er Ni
2 8 8
Direct
0.250 0.250 0.250
0.750 0.750 0.750
0.069 0.663 0.150
0.163 0.931 0.650
0.337 0.569 0.650
0.431 0.837 0.150
0.569 0.163 0.850
0.663 0.431 0.350
0.837 0.069 0.350
0.931 0.337 0.850
0.027 0.616 0.638
0.116 0.973 0.138
0.384 0.527 0.138
0.473 0.884 0.638
0.527 0.116 0.362
0.616 0.473 0.862
0.884 0.027 0.862
0.973 0.384 0.362

TbEr2Ni2 (GGA-PBE, optimized geometry); energy = -5.362 eV per atom
1.0
1.813 -14.900 0.000
1.813 14.900 0.000
0.000 0.000 4.218
Tb Er Ni
2 4 4
Direct
0.123 0.877 0.750
0.877 0.123 0.250
0.215 0.785 0.250
0.453 0.547 0.750
0.547 0.453 0.250
0.785 0.215 0.750
0.026 0.974 0.750
0.356 0.644 0.750
0.644 0.356 0.250
0.974 0.026 0.250

TbEr3Ni (GGA-PBE, optimized geometry); energy = -4.881 eV per atom
1.0
5.260 0.000 0.000
0.000 5.260 0.000
0.000 0.000 5.260
Tb Er Ni
1 3 1
Direct
0.000 0.000 0.000
0.000 0.500 0.500
0.500 0.000 0.500
0.500 0.500 0.000
0.500 0.500 0.500

TbEr3Ni8 (GGA-PBE, optimized geometry); energy = -5.849 eV per atom
1.0
2.521 1.456 8.258
-2.521 1.456 8.258
0.000 -2.911 8.258
Tb Er Ni
1 3 8
Direct
0.000 0.000 0.000
0.125 0.125 0.125
0.500 0.500 0.500
0.624 0.624 0.624
0.063 0.063 0.561
0.063 0.561 0.063
0.063 0.563 0.563
0.312 0.312 0.312
0.561 0.063 0.063
0.563 0.063 0.563
0.563 0.563 0.063
0.812 0.812 0.812

In order of appearance, mass density = 9.88; 8.58; 8.43; 8.73; 8.98; 9.08; 8.43; 8.40; 8.81; 8.90; 8.21; 10.32 Mg/m³.